No. 1
The following is a GGA-PBE calculation of an optimized crystal structure of Rb3Ac2PdO6, from Alexandria.

Cell and atoms, written as extended XYZ:
```
12
Lattice="3.2927 -5.4217 0.0000 3.2927 5.4217 0.0000 -2.3544 0.0000 6.6415" Properties=species:S:1:pos:R:3 pbc="T T T"
Rb 0.0000 0.0000 0.0000
Rb 3.2927 1.7182 0.0000
Rb 3.2927 -1.7182 0.0000
Ac 2.1155 3.6188 3.3207
Ac 2.1155 -3.6188 3.3207
Pd 2.1155 0.0000 3.3207
O 1.1420 1.5800 2.2068
O -0.2734 0.0000 4.7819
O 1.1420 -1.5800 2.2068
O 3.0890 1.5800 4.4346
O 4.5045 0.0000 1.8596
O 3.0890 -1.5800 4.4346
```

Results
Space-group type ... No. 12
Spin magnetization ... 1.06 μB per cell
Raw formation energy ... -1.84 eV/atom
Final energy ... -5.679 eV/atom

No. 2
The following is a GGA-PBE calculation of an optimized crystal structure of RbAc2PdO5, from Alexandria.

Cell and atoms, written as extended XYZ:
```
18
Lattice="-3.6109 3.6109 6.1905 3.6109 -3.6109 6.1905 3.6109 3.6109 -6.1905" Properties=species:S:1:pos:R:3 pbc="T T T"
Rb 0.0000 0.0000 3.0953
Rb 0.0000 0.0000 9.2858
Ac 4.9100 1.2991 0.0000
Ac 1.2991 2.3119 0.0000
Ac 2.3119 1.2991 6.1905
Ac -1.2991 2.3119 6.1905
Pd 3.6109 0.0000 3.0953
Pd 0.0000 3.6109 3.0953
O 0.0000 0.0000 0.0000
O 2.6920 0.9189 -1.5123
O 2.6920 0.9189 1.5123
O 2.6920 -0.9189 4.6782
O 2.6920 -0.9189 7.7028
O 0.0000 0.0000 6.1905
O 0.9189 4.5298 -1.5123
O 0.9189 4.5298 1.5123
O 0.9189 2.6920 4.6782
O 0.9189 2.6920 7.7028
```

Results
Space-group type ... No. 140
Spin magnetization ... 2.06 μB per cell
Raw formation energy ... -2.07 eV/atom
Final energy ... -6.424 eV/atom

No. 3
The following is a GGA-PBE calculation of an optimized crystal structure of Rb3Ac3PdO8, from Alexandria.

Cell and atoms, written as extended XYZ:
```
15
Lattice="3.7124 2.1434 6.6297 -3.7124 2.1434 6.6297 0.0000 -4.2868 6.6297" Properties=species:S:1:pos:R:3 pbc="T T T"
Rb -1.8562 -1.0717 6.6297
Rb -1.8562 1.0717 13.2594
Rb 0.0000 2.1434 6.6297
Ac -3.7124 0.0000 9.9445
Ac -1.8562 1.0717 3.3148
Ac 1.8562 1.0717 3.3148
Pd 0.0000 0.0000 9.9445
O 0.0000 0.0000 4.5540
O -1.6132 -0.9314 11.0582
O 0.0000 -1.8628 8.8309
O -1.6132 0.9314 8.8309
O 1.6132 -0.9314 11.0582
O 0.0000 1.8628 11.0582
O 1.6132 0.9314 8.8309
O 0.0000 0.0000 15.3351
```

Results
Space-group type ... No. 166
Spin magnetization ... 0.00 μB per cell
Raw formation energy ... -2.05 eV/atom
Final energy ... -6.058 eV/atom